Record 1
{"formula": "LaHo2Rh", "functional": "PBE-GGA", "state": "relaxed", "dft_energy_ev_per_atom": -5.583, "de_polymorph_ev_per_atom": 0.288, "formation_energy_ev_per_atom": -0.224, "lattice": [[3.708, 0.000, 0.000], [1.854, 3.212, 0.000], [1.854, 1.071, 10.544]], "species": ["Ho", "Ho", "La", "Rh"], "frac_coords": [[0.114, 0.114, 0.659], [0.886, 0.886, 0.341], [0.000, 0.000, 0.000], [0.500, 0.500, 0.500]]}

Record 2
{"formula": "LaHo2Rh", "functional": "PBE-GGA", "state": "relaxed", "dft_energy_ev_per_atom": -5.793, "de_polymorph_ev_per_atom": 0.077, "formation_energy_ev_per_atom": -0.435, "lattice": [[3.492, 0.000, 0.000], [0.000, 3.492, 0.000], [0.000, 0.000, 8.890]], "species": ["Ho", "Ho", "La", "Rh"], "frac_coords": [[0.000, 0.000, 0.818], [0.000, 0.000, 0.182], [0.500, 0.500, 0.500], [0.500, 0.500, 0.000]]}

Record 3
{"formula": "LaHo3Rh4", "functional": "PBE-GGA", "state": "relaxed", "dft_energy_ev_per_atom": -6.834, "formation_energy_ev_per_atom": -0.825, "lattice": [[-1.432, 3.666, 2.884], [-4.701, 1.300, 0.141], [-3.304, -3.546, 6.995]], "species": ["Rh", "Rh", "Rh", "Rh", "Ho", "Ho", "Ho", "La"], "frac_coords": [[0.873, 0.873, 0.382], [0.378, 0.378, 0.866], [0.622, 0.622, 0.134], [0.127, 0.127, 0.618], [0.247, 0.247, 0.258], [0.753, 0.753, 0.742], [0.500, 0.500, 0.500], [0.000, 0.000, 0.000]]}